[1]
A plane-wave DFT calculation with GGA-PBE was carried out for a relaxed KGeTe2I crystal.

a = 6.2524 Å, b = 6.2524 Å, c = 6.1377 Å
α = 90.00°, β = 90.00°, γ = 90.00°
Fractional positions:
Ge 0.5000 0.5000 0.5000
Te 0.0000 0.5000 0.0000
K 0.0000 0.0000 0.0000
I 0.0000 0.0000 0.5000
Te 0.5000 0.0000 0.0000

## Properties
**Raw total energy**: -1.9212 eV per atom
**Calculated volume**: 48.0 Å³ per atom
**SG**: P4/mmm (123)
**DOS(E_F)**: 1.34 states/eV/atom



[2]
A plane-wave DFT calculation with GGA-PBE was carried out for a relaxed K2TiGeI crystal.

a = 6.3076 Å, b = 5.8977 Å, c = 6.3076 Å
α = 90.00°, β = 90.00°, γ = 90.00°
Fractional positions:
Ge 0.0000 0.5000 0.0000
I 0.0000 0.0000 0.0000
K 0.0000 0.0000 0.5000
Ti 0.5000 0.5000 0.5000
K 0.5000 0.0000 0.0000

## Properties
**Raw total energy**: -2.5427 eV per atom
**Calculated volume**: 46.9 Å³ per atom
**SG**: P4/mmm (123)
**DOS(E_F)**: 0.81 states/eV/atom



[3]
A plane-wave DFT calculation with GGA-PBE was carried out for a relaxed KTlGe2I crystal.

a = 5.6929 Å, b = 6.1648 Å, c = 5.6929 Å
α = 90.00°, β = 90.00°, γ = 90.00°
Fractional positions:
K 0.0000 0.5000 0.0000
Ge 0.0000 0.0000 0.5000
Ge 0.5000 0.0000 0.0000
I 0.0000 0.0000 0.0000
Tl 0.5000 0.5000 0.5000

## Properties
**Raw total energy**: -2.3365 eV per atom
**Calculated volume**: 40.0 Å³ per atom
**SG**: P4/mmm (123)
**DOS(E_F)**: 0.70 states/eV/atom



Among the records above, which one has the highest DOS(E_F)?
KGeTe2I



Which value of calculated volume does entry 2 give?
46.9 Å³ per atom